(1)
Computed, not measured: a crystal of LiCuSi2 relaxed with PBEsol at the SCAN level of DFT.

Unit cell a=3.1443 b=3.3779 c=4.8916 alpha=90.00 beta=90.00 gamma=90.00
Closest atoms and distances in Å follow each position.
Atoms (fractional coordinates):
1 Cu 0.0000 0.0000 0.5005  6 Si 2.42-2.62, 4 Li 2.60
2 Li 0.5000 0.5000 0.7473  6 Si 2.44-2.63, 4 Cu 2.60
3 Si 0.0000 0.0000 0.0065  2 Cu 2.42-2.47, 4 Si 2.59, 4 Li 2.63
4 Si 0.5000 0.5000 0.2456  2 Li 2.44-2.45, 4 Si 2.59, 4 Cu 2.62

Values from the calculation:
- Distance to the lowest polymorph of the same formula: 67 meV per atom
- Raw formation energy: 79 meV per atom

***

(2)
Computed, not measured: a crystal of LiCu2Si relaxed with PBEsol at the SCAN level of DFT.

Unit cell a=2.5307 b=3.6688 c=5.1289 alpha=90.00 beta=90.00 gamma=90.00
Closest atoms and distances in Å follow each position.
Atoms (fractional coordinates):
1 Cu 0.0000 0.0000 0.7469  4 Cu 2.53-2.60, 4 Si 2.56, 4 Li 2.58
2 Cu 0.0000 0.0000 0.2531  4 Cu 2.53-2.60, 4 Si 2.56, 4 Li 2.58
3 Li 0.5000 0.5000 0.0000  2 Li 2.53, 2 Si 2.56, 8 Cu 2.58
4 Si 0.5000 0.5000 0.5000  2 Si 2.53, 8 Cu 2.56, 2 Li 2.56

Values from the calculation:
- Raw formation energy: -44 meV per atom

***

(3)
Computed, not measured: a crystal of LiCu2Si relaxed with PBEsol at the SCAN level of DFT.

Unit cell a=3.1363 b=3.8396 c=3.8396 alpha=90.00 beta=90.00 gamma=90.00
Closest atoms and distances in Å follow each position.
Atoms (fractional coordinates):
1 Si 0.5000 0.0000 0.0000  8 Cu 2.48, 4 Li 2.72
2 Cu 0.0000 0.0000 0.5000  4 Si 2.48, 4 Li 2.48, 4 Cu 2.72
3 Cu 0.0000 0.5000 0.0000  4 Li 2.48, 4 Si 2.48, 4 Cu 2.72
4 Li 0.5000 0.5000 0.5000  8 Cu 2.48, 4 Si 2.72

Values from the calculation:
- Raw formation energy: -138 meV per atom

***

(4)
Computed, not measured: a crystal of LiCuSi2 relaxed with PBEsol at the SCAN level of DFT.

Unit cell a=3.6820 b=3.6814 c=4.5708 alpha=113.75 beta=113.75 gamma=90.00
Closest atoms and distances in Å follow each position.
Atoms (fractional coordinates):
1 Cu 0.5000 0.0000 0.0000  4 Li 2.60, 8 Si 2.63
2 Li 0.0000 0.5000 0.0000  4 Cu 2.60, 8 Si 2.63
3 Si 0.7499 0.7499 0.4998  4 Si 2.60, 4 Cu 2.63, 4 Li 2.63
4 Si 0.2501 0.2501 0.5002  4 Si 2.60, 4 Cu 2.63, 4 Li 2.63

Values from the calculation:
- Distance to the lowest polymorph of the same formula: 68 meV per atom
- Raw formation energy: 81 meV per atom

***

(5)
Computed, not measured: a crystal of LiCu2Si relaxed with PBEsol at the SCAN level of DFT.

Unit cell a=4.0134 b=4.0134 c=4.0134 alpha=60.00 beta=60.00 gamma=60.00
Closest atoms and distances in Å follow each position.
Atoms (fractional coordinates):
1 Si 0.0000 0.0000 0.0000  8 Cu 2.46
2 Cu 0.2500 0.2500 0.2500  4 Li 2.46, 4 Si 2.46
3 Cu 0.7500 0.7500 0.7500  4 Li 2.46, 4 Si 2.46
4 Li 0.5000 0.5000 0.5000  8 Cu 2.46

Values from the calculation:
- Raw formation energy: -231 meV per atom

***

(6)
Computed, not measured: a crystal of LiCuSi relaxed with PBEsol at the SCAN level of DFT.

Unit cell a=2.6862 b=4.0664 c=4.0664 alpha=120.00 beta=90.00 gamma=90.00
Closest atoms and distances in Å follow each position.
Atoms (fractional coordinates):
1 Si 0.5000 0.6667 0.3333  3 Cu 2.35
2 Cu 0.5000 0.0000 0.0000  3 Si 2.35
3 Li 0.0000 0.3333 0.6667  2 Li 2.69, 6 Cu 2.70, 6 Si 2.70

Values from the calculation:
- Raw formation energy: -152 meV per atom

***

(7)
Computed, not measured: a crystal of LiCuSi2 relaxed with PBEsol at the SCAN level of DFT.

Unit cell a=4.2116 b=4.2116 c=4.2116 alpha=60.00 beta=60.00 gamma=60.00
Closest atoms and distances in Å follow each position.
Atoms (fractional coordinates):
1 Cu 0.0000 0.0000 0.0000  8 Si 2.58
2 Li 0.5000 0.5000 0.5000  8 Si 2.58
3 Si 0.2500 0.2500 0.2500  4 Li 2.58, 4 Cu 2.58
4 Si 0.7500 0.7500 0.7500  4 Li 2.58, 4 Cu 2.58

Values from the calculation:
- Distance to the lowest polymorph of the same formula: 185 meV per atom
- Raw formation energy: 198 meV per atom

***

(8)
Computed, not measured: a crystal of LiCuSi2 relaxed with PBEsol at the SCAN level of DFT.

Unit cell a=2.6645 b=4.0106 c=5.0456 alpha=90.00 beta=90.00 gamma=90.00
Closest atoms and distances in Å follow each position.
Atoms (fractional coordinates):
1 Cu 0.5000 0.5000 0.0000  4 Si 2.38, 2 Cu 2.66
2 Li 0.0000 0.5000 0.5000  2 Li 2.66, 8 Si 2.71, 4 Cu 2.85
3 Si 0.5000 0.0000 0.7445  2 Cu 2.38, 4 Si 2.47-2.66
4 Si 0.5000 0.0000 0.2555  2 Cu 2.38, 4 Si 2.47-2.66

Values from the calculation:
- Distance to the lowest polymorph of the same formula: 0 meV per atom
- Raw formation energy: 13 meV per atom

***

(9)
Computed, not measured: a crystal of LiCu2Si relaxed with PBEsol at the SCAN level of DFT.

Unit cell a=2.9579 b=2.9579 c=5.4293 alpha=90.00 beta=90.00 gamma=90.00
Closest atoms and distances in Å follow each position.
Atoms (fractional coordinates):
1 Cu 0.0000 0.0000 0.7469  4 Si 2.48, 4 Li 2.50, 2 Cu 2.68-2.75
2 Cu 0.0000 0.0000 0.2531  4 Si 2.48, 4 Li 2.50, 2 Cu 2.68-2.75
3 Li 0.5000 0.5000 0.0000  8 Cu 2.50, 2 Si 2.71
4 Si 0.5000 0.5000 0.5000  8 Cu 2.48, 2 Li 2.71

Values from the calculation:
- Raw formation energy: -14 meV per atom

***

(10)
Computed, not measured: a crystal of SrLiCu4 relaxed with PBEsol at the SCAN level of DFT.

Unit cell a=5.1097 b=5.1097 c=5.1097 alpha=60.00 beta=60.00 gamma=60.00
Closest atoms and distances in Å follow each position.
Atoms (fractional coordinates):
1 Cu 0.3768 0.3768 0.3768  6 Cu 2.52-2.59
2 Cu 0.3768 0.3768 0.8695  6 Cu 2.52-2.59
3 Cu 0.8695 0.3768 0.3768  6 Cu 2.52-2.59
4 Cu 0.3768 0.8695 0.3768  6 Cu 2.52-2.59
5 Li 0.7500 0.7500 0.7500  12 Cu 2.99, 4 Sr 3.13
6 Sr 0.0000 0.0000 0.0000  12 Cu 3.00, 4 Li 3.13

Values from the calculation:
- Electronic total energy: -85.48 eV for the cell shown

***

(11)
Computed, not measured: a crystal of Sr2LiCu relaxed with PBEsol at the SCAN level of DFT.

Unit cell a=4.3996 b=4.3996 c=8.1417 alpha=74.32 beta=74.32 gamma=60.00
Closest atoms and distances in Å follow each position.
Atoms (fractional coordinates):
1 Sr 0.9650 0.9650 0.1052  3 Cu 3.28, 3 Li 3.29
2 Sr 0.7848 0.7848 0.6455  3 Li 3.29, 3 Cu 3.29
3 Cu 0.5419 0.5419 0.3742  3 Li 2.54
4 Li 0.2083 0.2083 0.3752  3 Cu 2.54

Values from the calculation:
- Electronic total energy: -62.13 eV for the cell shown

***

(12)
Computed, not measured: a crystal of SrLi2Cu relaxed with PBEsol at the SCAN level of DFT.

Unit cell a=5.0595 b=5.0595 c=5.0595 alpha=90.39 beta=119.78 gamma=119.78
Closest atoms and distances in Å follow each position.
Atoms (fractional coordinates):
1 Cu 0.5000 0.2500 0.7500  4 Sr 3.10, 4 Li 3.10
2 Li 0.0000 0.0000 0.0000  4 Li 3.10, 4 Cu 3.10
3 Li 0.5000 0.7500 0.2500  4 Li 3.10, 4 Sr 3.10
4 Sr 0.0000 0.5000 0.5000  4 Cu 3.10, 4 Li 3.10

Values from the calculation:
- Distance to the lowest polymorph of the same formula: 123 meV per atom

***

(13)
Computed, not measured: a crystal of Sr2Li2Cu relaxed with PBEsol at the SCAN level of DFT.

Unit cell a=3.8278 b=3.8278 c=9.9434 alpha=101.10 beta=101.10 gamma=90.00
Closest atoms and distances in Å follow each position.
Atoms (fractional coordinates):
1 Sr 0.4071 0.4071 0.8142  4 Cu 3.24, 1 Sr 3.56, 4 Li 3.56
2 Sr 0.5929 0.5929 0.1858  4 Cu 3.24, 1 Sr 3.56, 4 Li 3.56
3 Cu 0.0000 0.0000 0.0000  8 Sr 3.24
4 Li 0.2500 0.7500 0.5000  4 Li 2.71
5 Li 0.7500 0.2500 0.5000  4 Li 2.71

Values from the calculation:
- Electronic total energy: -64.14 eV for the cell shown

***

(14)
Computed, not measured: a crystal of SrLi3Cu relaxed with PBEsol at the SCAN level of DFT.

Unit cell a=4.9114 b=4.9114 c=4.9114 alpha=90.00 beta=90.00 gamma=90.00
Closest atoms and distances in Å follow each position.
Atoms (fractional coordinates):
1 Sr 0.5000 0.5000 0.5000  12 Li 3.47
2 Cu 0.0000 0.0000 0.0000  6 Li 2.46
3 Li 0.0000 0.5000 0.0000  2 Cu 2.46
4 Li 0.0000 0.0000 0.5000  2 Cu 2.46
5 Li 0.5000 0.0000 0.0000  2 Cu 2.46

Values from the calculation:
- Electronic total energy: -44.21 eV for the cell shown

***

(15)
Computed, not measured: a crystal of SrLi2Cu2 relaxed with PBEsol at the SCAN level of DFT.

Unit cell a=4.1653 b=4.1653 c=6.4541 alpha=108.83 beta=108.83 gamma=90.00
Closest atoms and distances in Å follow each position.
Atoms (fractional coordinates):
1 Sr 0.0000 0.0000 0.0000  8 Cu 3.18, 8 Li 3.55
2 Cu 0.3964 0.3964 0.7929  1 Cu 2.38
3 Cu 0.6036 0.6036 0.2071  1 Cu 2.38
4 Li 0.2500 0.7500 0.5000  4 Cu 2.68, 4 Li 2.95
5 Li 0.7500 0.2500 0.5000  4 Cu 2.68, 4 Li 2.95

Values from the calculation:
- Electronic total energy: -57.44 eV for the cell shown

***

Number 1: N(E_F) 0.213 states/eV per atom. Number 2: N(E_F) 0.251 states/eV per atom. Number 3: N(E_F) 0.221 states/eV per atom. Number 4: N(E_F) 0.326 states/eV per atom. Number 5: N(E_F) 0.170 states/eV per atom. Number 6: N(E_F) 0.269 states/eV per atom. Number 7: N(E_F) 0.301 states/eV per atom. Number 8: N(E_F) 0.300 states/eV per atom. Number 9: N(E_F) 0.264 states/eV per atom. Number 10: N(E_F) 0.509 states/eV per atom. Number 11: N(E_F) 0.556 states/eV per atom. Number 12: N(E_F) 0.491 states/eV per atom. Number 13: N(E_F) 0.421 states/eV per atom. Number 14: N(E_F) 0.507 states/eV per atom. Number 15: N(E_F) 0.436 states/eV per atom.